Entry from Alexandria via LeMat-Bulk: a geometry-optimized Cu5NiAu4 structure (PBE).

Unit cell a=13.123 b=2.727 c=8.891 alpha=90.00 beta=111.30 gamma=90.00
Space group C2/m (No. 12)
Asymmetric unit:
Cu 0.000 0.000 0.000
Cu 0.180 0.500 0.089
Cu 0.209 0.500 0.634
Ni 0.000 0.000 0.500
Au 0.102 0.500 0.324
Au 0.111 0.000 0.808

Computed properties:
DOS(E_F): 0.451 states/eV/atom
theoretical density: 13.044 Mg/m³
offset from the most stable computed form: 2.285 kcal/mol of atoms
magnetization: 0.00 μB/f.u.
total DFT energy (no corrections): -3.85 eV/atom


Entry from Alexandria via LeMat-Bulk: a geometry-optimized Ho2Tm4Pb3O2 structure (PBE).

Unit cell a=4.605 b=4.605 c=25.045 alpha=90.00 beta=90.00 gamma=90.00
Space group I4/mmm (No. 139)
Asymmetric unit:
Ho 0.000 0.000 0.193
Tm 0.000 0.500 0.084
Pb 0.000 0.000 0.321
Pb 0.000 0.000 0.500
O 0.000 0.000 0.097

Computed properties:
DOS(E_F): 0.614 states/eV/atom
theoretical density: 10.376 Mg/m³
magnetization: 0.00 μB/f.u.
ΔE_f (raw): -1375 meV/atom
total DFT energy (no corrections): -5.75 eV/atom


Entry from Alexandria via LeMat-Bulk: a geometry-optimized Na2Zn4CuGe3 structure (PBE).

Unit cell a=4.167 b=4.167 c=10.968 alpha=90.00 beta=90.00 gamma=90.00
Space group P-4m2 (No. 115)
Asymmetric unit:
Na 0.000 0.500 0.249
Zn 0.000 0.000 0.500
Zn 0.000 0.500 0.865
Zn 0.500 0.500 0.500
Cu 0.500 0.500 0.000
Ge 0.000 0.000 0.000
Ge 0.000 0.500 0.640

Computed properties:
DOS(E_F): 0.224 states/eV/atom
theoretical density: 5.137 Mg/m³
magnetization: 0.00 μB/f.u.
total DFT energy (no corrections): -2.61 eV/atom


Entry from Alexandria via LeMat-Bulk: a geometry-optimized YIN2Cl structure (PBE).

Unit cell a=4.657 b=4.657 c=6.284 alpha=90.00 beta=90.00 gamma=90.00
Space group P4/mmm (No. 123)
Asymmetric unit:
Y 0.000 0.000 0.000
I 0.000 0.000 0.500
N 0.000 0.500 0.000
Cl 0.500 0.500 0.500

Computed properties:
DOS(E_F): 0.758 states/eV/atom
theoretical density: 3.403 Mg/m³
offset from the most stable computed form: 0.000 kcal/mol of atoms
magnetization: 3.66 μB/f.u.
ΔE_f (raw): 705 meV/atom
total DFT energy (no corrections): -4.60 eV/atom


Entry from Alexandria via LeMat-Bulk: a geometry-optimized NbCuPPd2 structure (PBE).

Unit cell a=4.443 b=4.443 c=4.627 alpha=90.00 beta=90.00 gamma=90.00
Space group P4/mmm (No. 123)
Asymmetric unit:
Nb 0.000 0.000 0.000
Cu 0.500 0.500 0.000
P 0.000 0.000 0.500
Pd 0.000 0.500 0.500

Computed properties:
DOS(E_F): 0.903 states/eV/atom
theoretical density: 7.278 Mg/m³
magnetization: 0.40 μB/f.u.
total DFT energy (no corrections): -5.78 eV/atom


Entry from Alexandria via LeMat-Bulk: a geometry-optimized Nd2HfSe4 structure (PBE).

Unit cell a=7.217 b=6.830 c=8.055 alpha=90.00 beta=105.76 gamma=90.00
Space group P2_1/m (No. 11)
Asymmetric unit:
Nd 0.221 0.250 0.054
Nd 0.221 0.250 0.558
Hf 0.260 0.750 0.317
Se 0.011 0.508 0.754
Se 0.456 0.750 0.105
Se 0.461 0.750 0.625

Computed properties:
DOS(E_F): 0.644 states/eV/atom
theoretical density: 6.803 Mg/m³
magnetization: 0.00 μB/f.u.
ΔE_f (raw): -1447 meV/atom
total DFT energy (no corrections): -6.22 eV/atom